a.
Here is a relaxed Ta3AgHg crystal from the Alexandria database. Energies are from PBE.

Cell: 4.9020 4.9020 4.9020 Å, 90.00 90.00 90.00°
Fractional coordinates of all 5 atoms:
Hg (0.5000, 0.5000, 0.5000)
Ta (0.5000, 0.0000, 0.0000)
Ag (0.0000, 0.0000, 0.0000)
Ta (0.0000, 0.5000, 0.0000)
Ta (0.0000, 0.0000, 0.5000)

Results
The calculation puts the total moment at 0.00 μB/cell.

b.
Here is a relaxed Ta3AgHg crystal from the Alexandria database. Energies are from PBE.

Cell: 5.0277 5.0277 5.0277 Å, 90.00 90.00 90.00°
Each line ends with the local moment (μB).
Fractional coordinates of all 5 atoms:
Hg (0.0000, 0.0000, 0.0000)  0.08
Ta (0.0000, 0.5000, 0.0000)  0.46
Ag (0.5000, 0.5000, 0.5000)  0.01
Ta (0.5000, 0.0000, 0.0000)  0.44
Ta (0.0000, 0.0000, 0.5000)  0.42

Results
The calculation puts the total moment at 2.04 μB/cell.

Most stable: a. Least stable: b.